Model i:
Computed, not measured: crystalline Mg3Cu2 at its relaxed geometry at the PBE level of DFT.

Lattice parameters (Å, degrees): 4.4384 4.4384 5.3942 90.00 90.00 120.00
Space group P-3m1 (No. 164)
Symmetry-distinct sites (fractional):
Mg1 0.0000 0.0000 0.0000 [1 per cell]
Mg2 0.3333 0.6667 0.3520 [2 per cell]
Cu1 0.3333 0.6667 0.8648 [2 per cell]

Values from the calculation:
Spin magnetization (μB per formula unit): 0.000
D(E_F) (states/eV/cell): 1.80
Volume (Å³/cell): 92

Model ii:
Computed, not measured: crystalline Mg3Cu2 at its relaxed geometry at the PBE level of DFT.

Lattice parameters (Å, degrees): 7.233 7.233 3.315 90.00 90.00 90.00
Space group P4/mbm (No. 127)
Symmetry-distinct sites (fractional):
Mg1 0.000 0.000 0.000 [2 per cell]
Mg2 0.164 0.336 0.500 [4 per cell]
Cu1 0.129 0.629 0.000 [4 per cell]

Values from the calculation:
Spin magnetization (μB per formula unit): 0.000
D(E_F) (states/eV/cell): 2.85
Volume (Å³/cell): 173

Q: What are the energies relative to the best structure? A: model i 0.036; model ii 0.000, in eV/atom.

Model i:
Computed, not measured: crystalline Mg3Cu2 at its relaxed geometry at the PBE level of DFT.

Lattice parameters (Å, degrees): 2.9555 2.9555 34.4836 90.00 90.00 120.00
Space group R-3m (No. 166, hexagonal axes)
Symmetry-distinct sites (fractional):
Mg1 0.0000 0.0000 0.0000 [3 per cell]
Mg2 0.0000 0.0000 0.2071 [6 per cell]
Cu1 0.0000 0.0000 0.3970 [6 per cell]

Values from the calculation:
Spin magnetization (μB per formula unit): 0.000
D(E_F) (states/eV/cell): 5.44
Volume (Å³/cell): 261

Model ii:
Computed, not measured: crystalline Mg3Cu2 at its relaxed geometry at the PBE level of DFT.

Lattice parameters (Å, degrees): 11.807 19.738 3.012 90.00 90.00 90.00
Space group Fdd2 (No. 43)
Symmetry-distinct sites (fractional):
Mg1 0.000 0.000 0.000 [8 per cell]
Mg2 0.086 0.144 0.759 [16 per cell]
Cu1 0.065 0.283 0.710 [16 per cell]

Values from the calculation:
Spin magnetization (μB per formula unit): 0.000
D(E_F) (states/eV/cell): 13.18
Volume (Å³/cell): 702

Q: What are the energies relative to the best structure? A: model i 0.094; model ii 0.000, in eV/atom.

Model i:
Computed, not measured: crystalline Mg4Cu3 at its relaxed geometry at the PBE level of DFT.

Lattice parameters (Å, degrees): 3.150 3.150 23.987 90.00 90.00 90.00
Space group I4/mmm (No. 139)
Symmetry-distinct sites (fractional):
Mg1 0.000 0.000 0.065 [4 per cell]
Mg2 0.000 0.000 0.341 [4 per cell]
Cu1 0.000 0.000 0.225 [4 per cell]
Cu2 0.000 0.000 0.500 [2 per cell]

Values from the calculation:
Spin magnetization (μB per formula unit): 0.000
D(E_F) (states/eV/cell): 4.44
Volume (Å³/cell): 238

Model ii:
Computed, not measured: crystalline Mg4Cu3 at its relaxed geometry at the PBE level of DFT.

Lattice parameters (Å, degrees): 5.445 5.445 5.445 90.00 90.00 90.00
Space group P-43m (No. 215)
Symmetry-distinct sites (fractional):
Mg1 0.200 0.200 0.800 [4 per cell]
Cu1 0.000 0.500 0.500 [3 per cell]

Values from the calculation:
Spin magnetization (μB per formula unit): 0.000
D(E_F) (states/eV/cell): 3.51
Volume (Å³/cell): 161

Model iii:
Computed, not measured: crystalline Mg4Cu3 at its relaxed geometry at the PBE level of DFT.

Lattice parameters (Å, degrees): 5.198 5.198 5.198 90.00 90.00 90.00
Space group Pm-3m (No. 221)
Symmetry-distinct sites (fractional):
Mg1 0.000 0.000 0.000 [1 per cell]
Mg2 0.000 0.500 0.500 [3 per cell]
Cu1 0.000 0.000 0.500 [3 per cell]

Values from the calculation:
Spin magnetization (μB per formula unit): 0.000
D(E_F) (states/eV/cell): 1.98
Volume (Å³/cell): 140

Q: What are the energies relative to the best structure? A: model i 0.000; model ii 0.603; model iii 0.280, in eV/atom.

Model i:
Computed, not measured: crystalline Mg4Cu5 at its relaxed geometry at the PBE level of DFT.

Lattice parameters (Å, degrees): 7.6846 7.6846 5.3967 90.00 90.00 120.00
Space group P6_3/mcm (No. 193)
Symmetry-distinct sites (fractional):
Mg1 0.0000 0.0000 0.0000 [2 per cell]
Mg2 0.0000 0.3587 0.2500 [6 per cell]
Cu1 0.0000 0.3163 0.7500 [6 per cell]
Cu2 0.3333 0.6667 0.0000 [4 per cell]

Values from the calculation:
Spin magnetization (μB per formula unit): 0.000
D(E_F) (states/eV/cell): 2.15
Volume (Å³/cell): 276

Model ii:
Computed, not measured: crystalline Mg4Cu5 at its relaxed geometry at the PBE level of DFT.

Lattice parameters (Å, degrees): 8.272 8.272 4.058 90.00 90.00 90.00
Space group I4/mmm (No. 139)
Symmetry-distinct sites (fractional):
Mg1 0.000 0.309 0.000 [8 per cell]
Cu1 0.000 0.000 0.000 [2 per cell]
Cu2 0.158 0.158 0.500 [8 per cell]

Values from the calculation:
Spin magnetization (μB per formula unit): 0.000
D(E_F) (states/eV/cell): 7.33
Volume (Å³/cell): 278

Q: What are the energies relative to the best structure? A: model i 0.019; model ii 0.000, in eV/atom.